1.
VASP calculation (PBE) on BeRh after structural relaxation.

a = 2.809 Å, b = 3.668 Å, c = 4.433 Å
α = 90.00°, β = 108.32°, γ = 90.00°
Element x y z (fractional)
Be 0.080 0.250 0.162
Be 0.920 0.750 0.838
Rh 0.362 0.250 0.718
Rh 0.638 0.750 0.282

Space-group type: No. 11

---

2.
VASP calculation (PBE) on Be13Rh2 after structural relaxation.

a = 6.362 Å, b = 6.362 Å, c = 6.362 Å
α = 55.69°, β = 55.69°, γ = 55.69°
Element x y z (fractional)
Be 0.000 0.000 0.000
Be 0.011 0.011 0.653
Be 0.011 0.653 0.011
Be 0.231 0.231 0.609
Be 0.231 0.609 0.231
Be 0.347 0.989 0.989
Be 0.391 0.769 0.769
Be 0.609 0.231 0.231
Be 0.653 0.011 0.011
Be 0.769 0.391 0.769
Be 0.769 0.769 0.391
Be 0.989 0.347 0.989
Be 0.989 0.989 0.347
Rh 0.237 0.237 0.237
Rh 0.763 0.763 0.763

Space-group type: No. 166

---

3.
VASP calculation (PBE) on Be3Rh after structural relaxation.

a = 3.373 Å, b = 3.373 Å, c = 3.373 Å
α = 90.00°, β = 90.00°, γ = 90.00°
Element x y z (fractional)
Be 0.000 0.000 0.500
Be 0.000 0.500 0.000
Be 0.500 0.000 0.000
Rh 0.500 0.500 0.500

Space-group type: No. 221

---

4.
VASP calculation (PBE) on BeRh after structural relaxation.

a = 3.535 Å, b = 3.535 Å, c = 8.641 Å
α = 90.00°, β = 90.00°, γ = 120.00°
Element x y z (fractional)
Be 0.000 0.000 0.250
Be 0.000 0.000 0.750
Be 0.333 0.667 0.250
Be 0.667 0.333 0.750
Rh 0.333 0.667 0.601
Rh 0.333 0.667 0.899
Rh 0.667 0.333 0.101
Rh 0.667 0.333 0.399

Space-group type: No. 194

---

5.
VASP calculation (PBE) on Be4Rh after structural relaxation.

a = 4.407 Å, b = 4.407 Å, c = 4.407 Å
α = 109.47°, β = 109.47°, γ = 109.47°
Element x y z (fractional)
Be 0.000 0.000 0.500
Be 0.000 0.500 0.000
Be 0.500 0.000 0.000
Be 0.500 0.500 0.500
Rh 0.000 0.000 0.000

Space-group type: No. 229

---

6.
VASP calculation (PBE) on Be3Rh after structural relaxation.

a = 7.433 Å, b = 7.433 Å, c = 7.433 Å
α = 20.26°, β = 20.26°, γ = 20.26°
Element x y z (fractional)
Be 0.000 0.000 0.000
Be 0.250 0.250 0.250
Be 0.750 0.750 0.750
Rh 0.500 0.500 0.500

Space-group type: No. 166

---

7.
VASP calculation (PBE) on Be3Rh after structural relaxation.

a = 7.260 Å, b = 7.260 Å, c = 7.260 Å
α = 153.34°, β = 153.34°, γ = 38.05°
Element x y z (fractional)
Be 0.000 0.500 0.500
Be 0.129 0.129 0.000
Be 0.250 0.750 0.500
Be 0.500 0.000 0.500
Be 0.750 0.250 0.500
Be 0.871 0.871 0.000
Rh 0.378 0.378 0.000
Rh 0.622 0.622 0.000

Space-group type: No. 139

---

8.
VASP calculation (PBE) on Be3Rh after structural relaxation.

a = 4.234 Å, b = 4.234 Å, c = 4.234 Å
α = 90.00°, β = 90.00°, γ = 90.00°
Element x y z (fractional)
Be 0.000 0.000 0.500
Be 0.000 0.500 0.000
Be 0.500 0.000 0.000
Rh 0.000 0.000 0.000

Space-group type: No. 221

---

9.
VASP calculation (PBE) on Be12Rh after structural relaxation.

a = 6.127 Å, b = 6.127 Å, c = 6.127 Å
α = 60.00°, β = 60.00°, γ = 60.00°
Element x y z (fractional)
Be 0.000 0.000 0.333
Be 0.000 0.000 0.667
Be 0.000 0.333 0.000
Be 0.000 0.333 0.667
Be 0.000 0.667 0.000
Be 0.000 0.667 0.333
Be 0.333 0.000 0.000
Be 0.333 0.000 0.667
Be 0.333 0.667 0.000
Be 0.667 0.000 0.000
Be 0.667 0.000 0.333
Be 0.667 0.333 0.000
Rh 0.500 0.500 0.500

Space-group type: No. 225

---

10.
VASP calculation (PBE) on Be4Rh after structural relaxation.

a = 4.124 Å, b = 4.124 Å, c = 4.124 Å
α = 90.00°, β = 90.00°, γ = 90.00°
Element x y z (fractional)
Be 0.000 0.000 0.000
Be 0.000 0.500 0.500
Be 0.500 0.000 0.500
Be 0.500 0.500 0.000
Rh 0.500 0.500 0.500

Space-group type: No. 221

---

11.
VASP calculation (PBE) on BeRh after structural relaxation.

a = 5.853 Å, b = 5.853 Å, c = 5.853 Å
α = 109.47°, β = 109.47°, γ = 109.47°
Element x y z (fractional)
Be 0.000 0.000 0.663
Be 0.000 0.663 0.000
Be 0.337 0.337 0.337
Be 0.663 0.000 0.000
Rh 0.000 0.000 0.301
Rh 0.000 0.301 0.000
Rh 0.301 0.000 0.000
Rh 0.699 0.699 0.699

Space-group type: No. 217

---

12.
VASP calculation (PBE) on Be3Rh after structural relaxation.

a = 4.285 Å, b = 4.285 Å, c = 4.285 Å
α = 90.00°, β = 90.00°, γ = 90.00°
Element x y z (fractional)
Be 0.000 0.250 0.500
Be 0.000 0.750 0.500
Be 0.250 0.500 0.000
Be 0.500 0.000 0.250
Be 0.500 0.000 0.750
Be 0.750 0.500 0.000
Rh 0.000 0.000 0.000
Rh 0.500 0.500 0.500

Space-group type: No. 223

---

13.
VASP calculation (PBE) on BeRh after structural relaxation.

a = 4.384 Å, b = 4.384 Å, c = 6.229 Å
α = 112.73°, β = 112.73°, γ = 37.28°
Element x y z (fractional)
Be 0.000 0.000 0.000
Be 0.058 0.058 0.655
Be 0.798 0.798 0.353
Rh 0.337 0.337 0.661
Rh 0.516 0.516 0.320
Rh 0.711 0.711 0.973

Space-group type: No. 8

---

14.
VASP calculation (PBE) on Be12Rh after structural relaxation.

a = 5.508 Å, b = 5.508 Å, c = 5.508 Å
α = 98.10°, β = 98.10°, γ = 135.92°
Element x y z (fractional)
Be 0.000 0.000 0.500
Be 0.000 0.217 0.217
Be 0.000 0.500 0.000
Be 0.000 0.783 0.783
Be 0.152 0.500 0.652
Be 0.217 0.000 0.217
Be 0.500 0.000 0.000
Be 0.500 0.152 0.652
Be 0.500 0.500 0.500
Be 0.500 0.848 0.348
Be 0.783 0.000 0.783
Be 0.848 0.500 0.348
Rh 0.500 0.500 0.000

Space-group type: No. 139

---

15.
VASP calculation (PBE) on Be3Rh after structural relaxation.

a = 6.170 Å, b = 5.732 Å, c = 4.243 Å
α = 90.00°, β = 90.00°, γ = 90.00°
Element x y z (fractional)
Be 0.094 0.250 0.116
Be 0.193 0.558 0.896
Be 0.193 0.942 0.896
Be 0.307 0.058 0.396
Be 0.307 0.442 0.396
Be 0.406 0.750 0.616
Be 0.594 0.250 0.384
Be 0.693 0.558 0.604
Be 0.693 0.942 0.604
Be 0.807 0.058 0.104
Be 0.807 0.442 0.104
Be 0.906 0.750 0.884
Rh 0.058 0.750 0.390
Rh 0.442 0.250 0.890
Rh 0.558 0.750 0.110
Rh 0.942 0.250 0.610

Space-group type: No. 62

---

16.
VASP calculation (PBE) on Be3Rh after structural relaxation.

a = 2.609 Å, b = 3.523 Å, c = 4.453 Å
α = 90.00°, β = 103.68°, γ = 90.00°
Element x y z (fractional)
Be 0.000 0.000 0.000
Be 0.152 0.500 0.753
Be 0.848 0.500 0.247
Rh 0.500 0.000 0.500

Space-group type: No. 10

---

17.
VASP calculation (PBE) on BeRh after structural relaxation.

a = 2.786 Å, b = 2.786 Å, c = 2.786 Å
α = 90.00°, β = 90.00°, γ = 90.00°
Element x y z (fractional)
Be 0.000 0.000 0.000
Rh 0.500 0.500 0.500

Space-group type: No. 221

---

18.
VASP calculation (PBE) on Be3Rh5 after structural relaxation.

a = 6.726 Å, b = 6.726 Å, c = 6.727 Å
α = 97.30°, β = 97.30°, γ = 138.17°
Element x y z (fractional)
Be 0.167 0.833 0.000
Be 0.251 0.749 0.500
Be 0.295 0.295 0.665
Be 0.705 0.705 0.335
Be 0.749 0.251 0.500
Be 0.833 0.167 0.000
Rh 0.075 0.285 0.361
Rh 0.212 0.573 0.790
Rh 0.262 0.262 0.023
Rh 0.285 0.075 0.361
Rh 0.427 0.788 0.210
Rh 0.573 0.212 0.790
Rh 0.715 0.925 0.639
Rh 0.738 0.738 0.977
Rh 0.788 0.427 0.210
Rh 0.925 0.715 0.639

Space-group type: No. 12

---

19.
VASP calculation (PBE) on Be3Rh5 after structural relaxation.

a = 6.584 Å, b = 6.584 Å, c = 5.045 Å
α = 90.00°, β = 90.00°, γ = 120.00°
Element x y z (fractional)
Be 0.000 0.401 0.250
Be 0.000 0.599 0.750
Be 0.401 0.000 0.250
Be 0.401 0.401 0.750
Be 0.599 0.000 0.750
Be 0.599 0.599 0.250
Rh 0.000 0.242 0.750
Rh 0.000 0.758 0.250
Rh 0.242 0.000 0.750
Rh 0.242 0.242 0.250
Rh 0.333 0.667 0.000
Rh 0.333 0.667 0.500
Rh 0.667 0.333 0.000
Rh 0.667 0.333 0.500
Rh 0.758 0.000 0.250
Rh 0.758 0.758 0.750

Space-group type: No. 193

---

20.
VASP calculation (PBE) on Be3Rh after structural relaxation.

a = 3.724 Å, b = 4.670 Å, c = 4.339 Å
α = 90.00°, β = 90.00°, γ = 90.00°
Element x y z (fractional)
Be 0.250 0.007 0.149
Be 0.250 0.493 0.149
Be 0.250 0.750 0.687
Be 0.750 0.250 0.313
Be 0.750 0.507 0.851
Be 0.750 0.993 0.851
Rh 0.250 0.250 0.647
Rh 0.750 0.750 0.353

Space-group type: No. 59

---

no.,V (Å³ per atom),uncorrected energy (eV/atom),formation energy (eV/atom)
1,10.84,-6.116,-0.58
2,10.92,-4.125,0.08
3,9.60,-5.048,-0.42
4,11.69,-5.704,-0.17
5,13.18,-4.196,0.26
6,10.77,-4.519,0.11
7,9.61,-5.065,-0.43
8,18.97,-3.943,0.69
9,12.51,-2.829,1.18
10,14.03,-3.735,0.72
11,19.29,-4.819,0.72
12,9.84,-4.888,-0.26
13,11.03,-6.047,-0.51
14,8.29,-4.164,-0.16
15,9.38,-5.001,-0.37
16,9.94,-4.862,-0.23
17,10.81,-6.149,-0.61
18,11.85,-6.366,-0.37
19,11.84,-6.360,-0.37
20,9.43,-5.106,-0.47